First-principles (PBE+U) data for CrNiPd2O6 after structural relaxation, as listed in the Alexandria database.

The density is 6.31 g cm⁻³. The total energy comes out at -112.64 eV/cell. As for the total magnetization: 6.01 μB per cell. The volume is 220.89 Å³/cell.

Cell lengths 5.0929, 6.6733, 6.6733 Å; angles 92.39, 81.11, 81.11 degrees
With the nearest neighbours (Å) after each atom.
Positions (direct):
Cr1 0.2500 0.2347 0.7653  6 O 1.93-2.00
Cr2 0.7500 0.7653 0.2347  6 O 1.93-2.00
Ni1 0.2500 0.9176 0.0824  6 O 1.98-2.02
Ni2 0.7500 0.0824 0.9176  6 O 1.98-2.02
Pd1 0.2189 0.7147 0.5733  4 O 2.01-2.19
Pd2 0.2811 0.4267 0.2853  4 O 2.01-2.19
Pd3 0.7811 0.2853 0.4267  4 O 2.01-2.19
Pd4 0.7189 0.5733 0.7147  4 O 2.01-2.19
O1 0.1346 0.9652 0.8096  1 Cr 2.00, 2 Ni 2.00-2.02, 1 Pd 2.19
O2 0.3654 0.1904 0.0348  1 Cr 2.00, 2 Ni 2.00-2.02, 1 Pd 2.19
O3 0.8654 0.0348 0.1904  1 Cr 2.00, 2 Ni 2.00-2.02, 1 Pd 2.19
O4 0.6346 0.8096 0.9652  1 Cr 2.00, 2 Ni 2.00-2.02, 1 Pd 2.19
O5 0.3788 0.8724 0.3446  1 Cr 1.93, 1 Ni 1.98, 1 Pd 2.03
O6 0.1212 0.6554 0.1276  1 Cr 1.93, 1 Ni 1.98, 1 Pd 2.03
O7 0.6212 0.1276 0.6554  1 Cr 1.93, 1 Ni 1.98, 1 Pd 2.03
O8 0.8788 0.3446 0.8724  1 Cr 1.93, 1 Ni 1.98, 1 Pd 2.03
O9 0.8333 0.7709 0.5134  1 Cr 1.97, 2 Pd 2.01-2.05
O10 0.6667 0.4866 0.2291  1 Cr 1.97, 2 Pd 2.01-2.05
O11 0.1667 0.2291 0.4866  1 Cr 1.97, 2 Pd 2.01-2.05
O12 0.3333 0.5134 0.7709  1 Cr 1.97, 2 Pd 2.01-2.05